Compound: Ce2DyZn2Ge2
Source: Alexandria
Functional: GGA-PBE
Structure: optimized geometry

extended XYZ file:
```
7
Lattice="2.149 1.241 9.160 -2.149 1.241 9.160 0.000 -2.481 9.160" Properties=species:S:1:pos:R:3 pbc="T T T"
Ce 0.000 0.000 3.887
Ce 0.000 0.000 23.592
Dy 0.000 0.000 0.000
Zn 0.000 0.000 11.134
Zn 0.000 0.000 16.345
Ge 0.000 0.000 7.325
Ge 0.000 0.000 20.154
```

Output
- E: -4.452 eV/atom